# 1
Density functional theory data (GGA-PBE) for crystalline Sc2InSb at its relaxed geometry.

Properties
Magnetic moment (Bohr magnetons per cell): 0.0
ΔE to the lowest computed polymorph (meV per atom): 22

Cell: 4.161 4.223 10.896 Å, 90.00 90.00 90.00°
Space group Amm2 (No. 38)
One atom of each set of equivalent atoms:
Sc: 0.000 0.000 0.000 [2 per cell]
Sc: 0.500 0.000 0.258 [2 per cell]
In: 0.000 0.000 0.735 [2 per cell]
Sb: 0.500 0.000 0.531 [2 per cell]


# 2
Density functional theory data (GGA-PBE) for crystalline K3Li3MnBr8 at its relaxed geometry.

Properties
Magnetic moment (Bohr magnetons per cell): 10.0
E (eV for the cell shown): -106.3

Cell: 14.286 8.238 8.879 Å, 90.00 122.42 90.00°
Space group C2/m (No. 12)
One atom of each set of equivalent atoms:
K: 0.000 0.000 0.000 [2 per cell]
K: 0.250 0.250 0.000 [4 per cell]
Li: 0.000 0.500 0.500 [2 per cell]
Li: 0.250 0.250 0.500 [4 per cell]
Mn: 0.000 0.000 0.500 [2 per cell]
Br: 0.015 0.242 0.303 [8 per cell]
Br: 0.227 0.000 0.697 [4 per cell]
Br: 0.234 0.500 0.702 [4 per cell]


# 3
Density functional theory data (GGA-PBE) for crystalline Al3CuNi2 at its relaxed geometry.

Properties
Magnetic moment (Bohr magnetons per cell): 0.0
Formation energy from the elements (eV/atom): -0.4240
ΔE to the lowest computed polymorph (meV per atom): 98

Cell: 3.709 11.906 3.426 Å, 90.00 90.00 90.00°
Space group Cmmm (No. 65)
One atom of each set of equivalent atoms:
Al: 0.000 0.000 0.000 [2 per cell]
Al: 0.000 0.172 0.500 [4 per cell]
Cu: 0.000 0.500 0.500 [2 per cell]
Ni: 0.000 0.334 0.000 [4 per cell]


# 4
Density functional theory data (GGA-PBE) for crystalline Nd2H4Pt at its relaxed geometry.

Properties
Magnetic moment (Bohr magnetons per cell): 0.0
E (eV for the cell shown): -64.6

Cell: 3.592 3.592 14.075 Å, 90.00 90.00 90.00°
Space group I4/mmm (No. 139)
One atom of each set of equivalent atoms:
Nd: 0.000 0.000 0.148 [4 per cell]
H: 0.000 0.000 0.315 [4 per cell]
H: 0.000 0.500 0.000 [4 per cell]
Pt: 0.000 0.000 0.500 [2 per cell]


# 5
Density functional theory data (GGA-PBE) for crystalline Sm2NpRu2 at its relaxed geometry.

Properties
Magnetic moment (Bohr magnetons per cell): 12.0
Formation energy from the elements (eV/atom): -0.2486

Cell: 10.099 5.967 7.845 Å, 90.00 100.14 90.00°
Space group C2/c (No. 15)
One atom of each set of equivalent atoms:
Sm: 0.151 0.126 0.152 [8 per cell]
Np: 0.000 0.370 0.750 [4 per cell]
Ru: 0.125 0.370 0.511 [8 per cell]


# 6
Density functional theory data (GGA-PBE) for crystalline CdHg3Pb3 at its relaxed geometry.

Properties
Magnetic moment (Bohr magnetons per cell): 0.0
Formation energy from the elements (eV/atom): 0.0600
ΔE to the lowest computed polymorph (meV per atom): 1

Cell: 11.107 11.855 6.179 Å, 90.00 94.76 90.00°
Space group C2/m (No. 12)
One atom of each set of equivalent atoms:
Cd: 0.224 0.000 0.316 [4 per cell]
Hg: 0.136 0.500 0.087 [4 per cell]
Hg: 0.243 0.244 0.740 [8 per cell]
Pb: 0.000 0.234 0.000 [4 per cell]
Pb: 0.000 0.362 0.500 [4 per cell]
Pb: 0.072 0.000 0.752 [4 per cell]


# 7
Density functional theory data (GGA-PBE) for crystalline Ni2MoCl at its relaxed geometry.

Properties
Magnetic moment (Bohr magnetons per cell): 0.0
ΔE to the lowest computed polymorph (meV per atom): 98

Cell: 2.8775 2.8775 23.3230 Å, 90.00 90.00 120.00°
Space group R-3m (No. 166, hexagonal axes)
One atom of each set of equivalent atoms:
Ni: 0.0000 0.0000 0.2480 [6 per cell]
Mo: 0.0000 0.0000 0.0000 [3 per cell]
Cl: 0.0000 0.0000 0.5000 [3 per cell]


# 8
Density functional theory data (GGA-PBE) for crystalline HPtN2F at its relaxed geometry.

Properties
Magnetic moment (Bohr magnetons per cell): 0.0
ΔE to the lowest computed polymorph (meV per atom): 362

Cell: 3.272 3.272 3.877 Å, 90.00 90.00 90.00°
Space group P4/mmm (No. 123)
One atom of each set of equivalent atoms:
H: 0.000 0.000 0.000 [1 per cell]
Pt: 0.500 0.500 0.500 [1 per cell]
N: 0.000 0.500 0.000 [2 per cell]
F: 0.000 0.000 0.500 [1 per cell]


# 9
Density functional theory data (GGA-PBE) for crystalline Al2CdIn2 at its relaxed geometry.

Properties
Magnetic moment (Bohr magnetons per cell): 0.0
Formation energy from the elements (eV/atom): 0.1869
ΔE to the lowest computed polymorph (meV per atom): 38

Cell: 3.917 3.917 15.703 Å, 90.00 90.00 90.00°
Space group I4/mmm (No. 139)
One atom of each set of equivalent atoms:
Al: 0.000 0.500 0.250 [4 per cell]
Cd: 0.000 0.000 0.000 [2 per cell]
In: 0.000 0.000 0.395 [4 per cell]


# 10
Density functional theory data (GGA-PBE) for crystalline ThGa6Cu12 at its relaxed geometry.

Properties
Magnetic moment (Bohr magnetons per cell): 0.0
Formation energy from the elements (eV/atom): -0.0543

Cell: 10.7271 10.7271 8.5918 Å, 90.00 90.00 120.00°
Space group R-3m (No. 166, hexagonal axes)
One atom of each set of equivalent atoms:
Th: 0.0000 0.0000 0.0000 [3 per cell]
Ga: 0.0497 0.5248 0.2468 [18 per cell]
Cu: 0.0000 0.3886 0.5000 [18 per cell]
Cu: 0.0842 0.1683 0.2989 [18 per cell]


# 11
Density functional theory data (GGA-PBE) for crystalline CuIr2Se at its relaxed geometry.

Properties
Magnetic moment (Bohr magnetons per cell): 0.0
E (eV for the cell shown): -23.9

Cell: 2.776 4.381 5.250 Å, 90.00 104.53 90.00°
Space group P2/m (No. 10)
One atom of each set of equivalent atoms:
Cu: 0.000 0.000 0.000 [1 per cell]
Ir: 0.370 0.500 0.224 [2 per cell]
Se: 0.500 0.000 0.500 [1 per cell]


# 12
Density functional theory data (GGA-PBE) for crystalline TaNbPt2Rh4 at its relaxed geometry.

Properties
Magnetic moment (Bohr magnetons per cell): 0.0
Formation energy from the elements (eV/atom): 0.1557

Cell: 6.951 6.951 5.501 Å, 90.00 90.00 90.00°
Space group I-42m (No. 121)
One atom of each set of equivalent atoms:
Ta: 0.000 0.000 0.000 [2 per cell]
Nb: 0.000 0.000 0.500 [2 per cell]
Pt: 0.000 0.500 0.250 [4 per cell]
Rh: 0.249 0.249 0.950 [8 per cell]